1.
Pr2MgSn | PBE | optimized geometry

Calculated values
The energy of formation comes out at -5 kJ/mol of formula units. The calculation puts the volume at 31.6 Å³ per atom. For the final energy, the calculation gives -15.2 eV/cell. Its total magnetization is 0.00 μB/cell. The density of states at the Fermi level comes out at 4.3 states/eV/cell.

Lattice parameters (Å, degrees): 12.414 12.414 12.414 15.98 15.98 15.98
Fractional coordinates of all 4 atoms:
Pr 0.092 0.092 0.092
Pr 0.908 0.908 0.908
Mg 0.000 0.000 0.000
Sn 0.500 0.500 0.500


2.
La5Pr2HoSc | PBE | optimized geometry

Calculated values
The energy of formation comes out at 231 kJ/mol of formula units. The calculation puts the volume at 35.5 Å³ per atom. For the final energy, the calculation gives -85.4 eV/cell. Its total magnetization is 0.00 μB/cell. The density of states at the Fermi level comes out at 29.2 states/eV/cell.

Lattice parameters (Å, degrees): 10.693 10.693 10.693 133.16 133.16 68.40
Fractional coordinates of all 18 atoms:
La 0.000 0.000 0.000
La 0.076 0.576 0.944
La 0.132 0.076 0.500
La 0.368 0.868 0.944
La 0.424 0.368 0.500
La 0.500 0.500 0.000
La 0.576 0.632 0.500
La 0.632 0.132 0.056
La 0.868 0.924 0.500
La 0.924 0.424 0.056
Pr 0.127 0.373 0.500
Pr 0.373 0.873 0.246
Pr 0.627 0.127 0.754
Pr 0.873 0.627 0.500
Ho 0.250 0.250 0.000
Ho 0.750 0.750 0.000
Sc 0.250 0.750 0.500
Sc 0.750 0.250 0.500


3.
KBeP2 | PBE | optimized geometry

Calculated values
The energy of formation comes out at 353 kJ/mol of formula units. The calculation puts the volume at 18.3 Å³ per atom. For the final energy, the calculation gives -12.0 eV/cell. Its total magnetization is 0.00 μB/cell. The density of states at the Fermi level comes out at 1.5 states/eV/cell.

Lattice parameters (Å, degrees): 4.698 4.698 4.698 60.00 60.00 60.00
Fractional coordinates of all 4 atoms:
K 0.000 0.000 0.000
Be 0.250 0.250 0.250
P 0.500 0.500 0.500
P 0.750 0.750 0.750


4.
Nd12Cd5Hg2 | PBE | optimized geometry

Calculated values
The energy of formation comes out at -336 kJ/mol of formula units. The calculation puts the volume at 30.4 Å³ per atom. For the final energy, the calculation gives -65.9 eV/cell. Its total magnetization is 0.00 μB/cell. The density of states at the Fermi level comes out at 21.7 states/eV/cell.

Lattice parameters (Å, degrees): 8.428 8.428 8.567 101.53 101.53 79.38
Fractional coordinates of all 19 atoms:
Nd 0.103 0.103 0.221
Nd 0.120 0.668 0.105
Nd 0.152 0.507 0.681
Nd 0.332 0.880 0.895
Nd 0.390 0.390 0.343
Nd 0.493 0.848 0.319
Nd 0.507 0.152 0.681
Nd 0.610 0.610 0.657
Nd 0.668 0.120 0.105
Nd 0.848 0.493 0.319
Nd 0.880 0.332 0.895
Nd 0.897 0.897 0.779
Cd 0.119 0.119 0.615
Cd 0.268 0.268 0.970
Cd 0.500 0.500 0.000
Cd 0.732 0.732 0.030
Cd 0.881 0.881 0.385
Hg 0.233 0.767 0.500
Hg 0.767 0.233 0.500


5.
Li2MnW | PBE | optimized geometry

Calculated values
The energy of formation comes out at 156 kJ/mol of formula units. As for the energy above the most stable polymorph in this dataset: 0.393 eV/f.u. The calculation puts the volume at 14.2 Å³ per atom. For the final energy, the calculation gives -24.3 eV/cell. Its total magnetization is 0.00 μB/cell. The density of states at the Fermi level comes out at 2.1 states/eV/cell.

Lattice parameters (Å, degrees): 2.516 4.105 5.589 90.00 99.26 90.00
Fractional coordinates of all 4 atoms:
Li 0.000 0.000 0.000
Li 0.228 0.500 0.773
Mn 0.777 0.500 0.287
W 0.532 0.000 0.470


6.
Rb8Se2O | PBE | optimized geometry

Calculated values
The calculation puts the volume at 52.4 Å³ per atom. For the final energy, the calculation gives -28.1 eV/cell. Its total magnetization is 0.00 μB/cell. The uncorrected formation energy is -0.7674 eV/atom. The density of states at the Fermi level comes out at 2.7 states/eV/cell.

Lattice parameters (Å, degrees): 12.792 12.792 9.368 103.14 103.14 22.76
Fractional coordinates of all 11 atoms:
Rb 0.028 0.028 0.247
Rb 0.183 0.183 0.937
Rb 0.291 0.291 0.646
Rb 0.426 0.426 0.405
Rb 0.574 0.574 0.595
Rb 0.709 0.709 0.354
Rb 0.817 0.817 0.063
Rb 0.972 0.972 0.753
Se 0.285 0.285 0.267
Se 0.715 0.715 0.733
O 0.000 0.000 0.500


7.
RbCoRe2 | PBE | optimized geometry

Calculated values
The energy of formation comes out at 696 kJ/mol of formula units. The calculation puts the volume at 25.3 Å³ per atom. For the final energy, the calculation gives -51.5 eV/cell. Its total magnetization is 0.03 μB/cell. The density of states at the Fermi level comes out at 14.0 states/eV/cell.

Lattice parameters (Å, degrees): 8.934 8.934 8.934 147.76 147.76 46.24
Fractional coordinates of all 8 atoms:
Rb 0.375 0.625 0.750
Rb 0.625 0.375 0.250
Co 0.125 0.875 0.250
Co 0.875 0.125 0.750
Re 0.000 0.000 0.000
Re 0.000 0.000 0.500
Re 0.000 0.500 0.000
Re 0.500 0.000 0.500


8.
NaIn12Bi6 | PBE | optimized geometry

Calculated values
The energy of formation comes out at 60 kJ/mol of formula units. The calculation puts the volume at 29.8 Å³ per atom. For the final energy, the calculation gives -56.8 eV/cell. Its total magnetization is 0.00 μB/cell. The density of states at the Fermi level comes out at 8.5 states/eV/cell.

Lattice parameters (Å, degrees): 8.277 8.277 8.277 91.57 91.57 91.57
Fractional coordinates of all 19 atoms:
Na 0.000 0.000 0.000
In 0.050 0.148 0.369
In 0.148 0.369 0.050
In 0.214 0.463 0.543
In 0.369 0.050 0.148
In 0.457 0.786 0.537
In 0.463 0.543 0.214
In 0.537 0.457 0.786
In 0.543 0.214 0.463
In 0.631 0.950 0.852
In 0.786 0.537 0.457
In 0.852 0.631 0.950
In 0.950 0.852 0.631
Bi 0.110 0.751 0.297
Bi 0.249 0.703 0.890
Bi 0.297 0.110 0.751
Bi 0.703 0.890 0.249
Bi 0.751 0.297 0.110
Bi 0.890 0.249 0.703


9.
Sc2SbPd2 | PBE | optimized geometry

Calculated values
As for the energy above the most stable polymorph in this dataset: 1.221 eV/f.u. The calculation puts the volume at 21.0 Å³ per atom. For the final energy, the calculation gives -30.3 eV/cell. Its total magnetization is 0.00 μB/cell. The uncorrected formation energy is -0.6330 eV/atom. The density of states at the Fermi level comes out at 2.7 states/eV/cell.

Lattice parameters (Å, degrees): 7.628 7.628 7.628 150.83 150.83 41.73
Fractional coordinates of all 5 atoms:
Sc 0.112 0.112 0.000
Sc 0.888 0.888 0.000
Sb 0.500 0.500 0.000
Pd 0.250 0.750 0.500
Pd 0.750 0.250 0.500


10.
RbGa2CuIr | PBE | optimized geometry

Calculated values
The energy of formation comes out at -48 kJ/mol of formula units. The calculation puts the volume at 23.9 Å³ per atom. For the final energy, the calculation gives -20.5 eV/cell. Its total magnetization is 0.00 μB/cell. The density of states at the Fermi level comes out at 1.6 states/eV/cell.

Lattice parameters (Å, degrees): 4.824 4.824 5.143 90.00 90.00 90.00
Fractional coordinates of all 5 atoms:
Rb 0.000 0.000 0.000
Ga 0.000 0.500 0.500
Ga 0.500 0.000 0.500
Cu 0.500 0.500 0.000
Ir 0.500 0.500 0.500


11.
CsRb2TlCd2 | PBE | optimized geometry

Calculated values
The energy of formation comes out at -7 kJ/mol of formula units. The calculation puts the volume at 47.4 Å³ per atom. For the final energy, the calculation gives -14.1 eV/cell. Its total magnetization is 0.00 μB/cell. The density of states at the Fermi level comes out at 6.6 states/eV/cell.

Lattice parameters (Å, degrees): 5.920 10.011 9.600 90.00 90.00 90.00
Fractional coordinates of all 12 atoms:
Cs 0.000 0.042 0.000
Cs 0.000 0.958 0.500
Rb 0.000 0.345 0.323
Rb 0.000 0.655 0.823
Rb 0.500 0.379 0.961
Rb 0.500 0.621 0.461
Tl 0.500 0.216 0.592
Tl 0.500 0.784 0.092
Cd 0.000 0.302 0.696
Cd 0.000 0.698 0.196
Cd 0.500 0.069 0.273
Cd 0.500 0.931 0.773


12.
Cs3KHg8 | PBE | optimized geometry

Calculated values
The energy of formation comes out at -268 kJ/mol of formula units. As for the energy above the most stable polymorph in this dataset: 0.000 eV/f.u. The calculation puts the volume at 36.2 Å³ per atom. For the final energy, the calculation gives -8.9 eV/cell. Its total magnetization is 0.00 μB/cell. The density of states at the Fermi level comes out at 5.3 states/eV/cell.

Lattice parameters (Å, degrees): 6.727 6.727 11.075 90.00 90.00 120.00
Fractional coordinates of all 12 atoms:
Cs 0.000 0.000 0.000
Cs 0.000 0.000 0.382
Cs 0.333 0.667 0.869
K 0.333 0.667 0.497
Hg 0.013 0.506 0.195
Hg 0.333 0.166 0.684
Hg 0.494 0.506 0.195
Hg 0.494 0.987 0.195
Hg 0.667 0.333 0.437
Hg 0.667 0.333 0.954
Hg 0.834 0.166 0.684
Hg 0.834 0.667 0.684


Which value of final energy does entry 7 give? -51.5 eV/cell


Look up the final energy of the twelfth one. -8.9 eV/cell